NdMoN2 | PBE | optimized geometry

a b c (Å): 5.885 3.323 10.820
angles (deg): 90.00 90.00 90.00
Element x y z (fractional)
Nd (0.079, 0.250, 0.145)
Nd (0.421, 0.750, 0.645)
Nd (0.579, 0.250, 0.355)
Nd (0.921, 0.750, 0.855)
Mo (0.061, 0.750, 0.408)
Mo (0.439, 0.250, 0.908)
Mo (0.561, 0.750, 0.092)
Mo (0.939, 0.250, 0.592)
N (0.163, 0.250, 0.745)
N (0.242, 0.250, 0.488)
N (0.258, 0.750, 0.988)
N (0.337, 0.750, 0.245)
N (0.663, 0.250, 0.755)
N (0.742, 0.250, 0.012)
N (0.758, 0.750, 0.512)
N (0.837, 0.750, 0.255)

Results
* formation energy from raw total energies: -3.8 eV/f.u.
* space-group type: No. 62
* energy above the lowest structure with this stoichiometry: 0.0 meV per atom